The following is a PBE calculation of a relaxed structure of Cs2Li2PuS4, from Alexandria via LeMat-Bulk.

Properties
Formation energy without anion corrections (eV per atom): -1.3731
Theoretical density (kg/m3): 4534
Magnetic moment (μB per formula unit): 4.00
Total energy (eV per atom): -5.41

Unit cell a=15.100 b=4.187 c=7.974 alpha=90.00 beta=108.66 gamma=90.00
Space group C2/m (No. 12)
One atom of each set of equivalent atoms:
Cs 0.140 0.000 0.065
Li 0.180 0.500 0.488
Pu 0.000 0.000 0.500
S 0.017 0.500 0.291
S 0.188 0.000 0.645

The following is a PBE calculation of a relaxed structure of CsLiPu2Se4, from Alexandria via LeMat-Bulk.

Properties
Formation energy without anion corrections (eV per atom): -1.4310
Theoretical density (kg/m3): 6782
Magnetic moment (μB per formula unit): 10.00
Total energy (eV per atom): -7.10

Unit cell a=4.303 b=14.501 c=14.813 alpha=90.00 beta=90.00 gamma=90.00
Space group Cmcm (No. 63)
One atom of each set of equivalent atoms:
Cs 0.000 0.106 0.250
Li 0.000 0.171 0.750
Pu 0.000 0.367 0.059
Se 0.000 0.000 0.000
Se 0.000 0.258 0.603
Se 0.000 0.414 0.250

The following is a PBE calculation of a relaxed structure of CsLiPuSe3, from Alexandria via LeMat-Bulk.

Properties
Formation energy without anion corrections (eV per atom): -1.3146
Theoretical density (kg/m3): 5328
Magnetic moment (μB per formula unit): 4.00
Total energy (eV per atom): -5.91

Unit cell a=9.549 b=4.303 c=10.071 alpha=90.00 beta=110.77 gamma=90.00
Space group P2_1/m (No. 11)
One atom of each set of equivalent atoms:
Cs 0.217 0.250 0.261
Li 0.081 0.250 0.598
Pu 0.323 0.750 0.850
Se 0.136 0.250 0.867
Se 0.202 0.750 0.557
Se 0.477 0.750 0.149

The following is a PBE calculation of a relaxed structure of CsLiPuTe3, from Alexandria via LeMat-Bulk.

Properties
Formation energy without anion corrections (eV per atom): -0.9871
Theoretical density (kg/m3): 5416
Magnetic moment (μB per formula unit): 3.99
Total energy (eV per atom): -5.41

Unit cell a=10.092 b=4.608 c=10.802 alpha=90.00 beta=110.64 gamma=90.00
Space group P2_1/m (No. 11)
One atom of each set of equivalent atoms:
Cs 0.216 0.250 0.261
Li 0.081 0.250 0.599
Pu 0.322 0.750 0.851
Te 0.129 0.250 0.870
Te 0.210 0.750 0.554
Te 0.475 0.750 0.153

The following is a PBE calculation of a relaxed structure of Cs2Li2PuTe4, from Alexandria via LeMat-Bulk.

Properties
Formation energy without anion corrections (eV per atom): -1.0361
Theoretical density (kg/m3): 5210
Magnetic moment (μB per formula unit): 3.99
Total energy (eV per atom): -4.64

Unit cell a=16.859 b=4.689 c=8.799 alpha=90.00 beta=108.62 gamma=90.00
Space group C2/m (No. 12)
One atom of each set of equivalent atoms:
Cs 0.137 0.000 0.067
Li 0.180 0.500 0.488
Pu 0.000 0.000 0.500
Te 0.015 0.500 0.279
Te 0.191 0.000 0.661

The following is a PBE calculation of a relaxed structure of Cs3RbLi, from Alexandria via LeMat-Bulk.

Properties
Theoretical density (kg/m3): 1657
Magnetic moment (μB per formula unit): 0.00
Total energy (eV per atom): -0.96
ΔH_f (0 K) (eV per atom): 0.126
Offset from the most stable computed form (eV per formula unit): 0.00

Unit cell a=7.896 b=7.896 c=7.896 alpha=90.00 beta=90.00 gamma=90.00
Space group Pm-3m (No. 221)
One atom of each set of equivalent atoms:
Cs 0.000 0.000 0.500
Rb 0.500 0.500 0.500
Li 0.000 0.000 0.000

The following is a PBE calculation of a relaxed structure of CsRb2Li, from Alexandria via LeMat-Bulk.

Properties
Theoretical density (kg/m3): 1717
Magnetic moment (μB per formula unit): 0.00
Total energy (eV per atom): -1.03
ΔH_f (0 K) (eV per atom): 0.143
Offset from the most stable computed form (eV per formula unit): 0.10

Unit cell a=6.549 b=6.549 c=7.010 alpha=90.00 beta=90.00 gamma=90.00
Space group P4/mmm (No. 123)
One atom of each set of equivalent atoms:
Cs 0.000 0.000 0.000
Rb 0.000 0.500 0.500
Li 0.500 0.500 0.000

The following is a PBE calculation of a relaxed structure of CsRbLi3, from Alexandria via LeMat-Bulk.

Properties
Theoretical density (kg/m3): 1263
Magnetic moment (μB per formula unit): 0.00
Total energy (eV per atom): -1.02
ΔH_f (0 K) (eV per atom): 0.494
Offset from the most stable computed form (eV per formula unit): 0.00

Unit cell a=6.801 b=6.801 c=6.801 alpha=90.00 beta=90.00 gamma=90.00
Space group Pm-3m (No. 221)
One atom of each set of equivalent atoms:
Cs 0.000 0.000 0.000
Rb 0.500 0.500 0.500
Li 0.000 0.500 0.500

The following is a PBE calculation of a relaxed structure of Cs3Rb8Li, from Alexandria via LeMat-Bulk.

Properties
Theoretical density (kg/m3): 1651
Magnetic moment (μB per formula unit): 0.00
Total energy (eV per atom): -0.97
ΔH_f (0 K) (eV per atom): 0.046

Unit cell a=15.7336 b=15.7336 c=10.2240 alpha=90.00 beta=90.00 gamma=120.00
Space group P6_3mc (No. 186)
One atom of each set of equivalent atoms:
Cs 0.1599 0.3198 0.0000
Rb 0.0000 0.0000 0.2495
Rb 0.0279 0.5140 0.7774
Rb 0.2102 0.4204 0.4982
Rb 0.3333 0.6667 0.1379
Li 0.3333 0.6667 0.7474

The following is a PBE calculation of a relaxed structure of CsRb2Li, from Alexandria via LeMat-Bulk.

Properties
Theoretical density (kg/m3): 1783
Magnetic moment (μB per formula unit): 0.00
Total energy (eV per atom): -1.04
ΔH_f (0 K) (eV per atom): 0.134
Offset from the most stable computed form (eV per formula unit): 0.06

Unit cell a=10.501 b=10.501 c=10.501 alpha=90.00 beta=90.00 gamma=90.00
Space group Fm-3m (No. 225)
One atom of each set of equivalent atoms:
Cs 0.000 0.000 0.000
Rb 0.250 0.250 0.250
Li 0.000 0.000 0.500

The following is a PBE calculation of a relaxed structure of Cs3Rb12Li, from Alexandria via LeMat-Bulk.

Properties
Theoretical density (kg/m3): 1653
Magnetic moment (μB per formula unit): 0.00
Total energy (eV per atom): -0.97
ΔH_f (0 K) (eV per atom): 0.037

Unit cell a=7.232 b=7.232 c=27.493 alpha=90.00 beta=90.00 gamma=90.00
Space group P4/mmm (No. 123)
One atom of each set of equivalent atoms:
Cs 0.000 0.000 0.000
Cs 0.000 0.000 0.269
Rb 0.000 0.500 0.135
Rb 0.000 0.500 0.401
Rb 0.500 0.500 0.000
Rb 0.500 0.500 0.268
Rb 0.500 0.500 0.500
Li 0.000 0.000 0.500

The following is a PBE calculation of a relaxed structure of Cs6Rb9Li, from Alexandria via LeMat-Bulk.

Properties
Theoretical density (kg/m3): 1685
Magnetic moment (μB per formula unit): 0.00
Total energy (eV per atom): -0.94
ΔH_f (0 K) (eV per atom): 0.044

Unit cell a=11.932 b=11.932 c=21.783 alpha=90.00 beta=90.00 gamma=90.00
Space group I4/m (No. 87)
One atom of each set of equivalent atoms:
Cs 0.000 0.000 0.183
Cs 0.118 0.685 0.000
Rb 0.000 0.000 0.500
Rb 0.103 0.695 0.331
Li 0.000 0.000 0.000

The following is a PBE calculation of a relaxed structure of Cs2RbLi2, from Alexandria via LeMat-Bulk.

Properties
Theoretical density (kg/m3): 1853
Magnetic moment (μB per formula unit): 0.00
Total energy (eV per atom): -1.16
ΔH_f (0 K) (eV per atom): 0.139
Offset from the most stable computed form (eV per formula unit): 0.00

Unit cell a=4.593 b=4.593 c=31.021 alpha=90.00 beta=90.00 gamma=90.00
Space group I4/mmm (No. 139)
One atom of each set of equivalent atoms:
Cs 0.000 0.000 0.138
Rb 0.000 0.000 0.500
Li 0.000 0.500 0.250

The following is a PBE calculation of a relaxed structure of CsRb2Li, from Alexandria via LeMat-Bulk.

Properties
Theoretical density (kg/m3): 1676
Magnetic moment (μB per formula unit): 0.00
Total energy (eV per atom): -1.06
ΔH_f (0 K) (eV per atom): 0.119
Offset from the most stable computed form (eV per formula unit): 0.00

Unit cell a=4.991 b=4.991 c=12.364 alpha=90.00 beta=90.00 gamma=90.00
Space group P4/mmm (No. 123)
One atom of each set of equivalent atoms:
Cs 0.000 0.000 0.000
Rb 0.500 0.500 0.317
Li 0.000 0.000 0.500

The following is a PBE calculation of a relaxed structure of CsRb2Li2, from Alexandria via LeMat-Bulk.

Properties
Theoretical density (kg/m3): 1522
Magnetic moment (μB per formula unit): 0.00
Total energy (eV per atom): -1.08
ΔH_f (0 K) (eV per atom): 0.241
Offset from the most stable computed form (eV per formula unit): 0.40

Unit cell a=6.941 b=6.941 c=14.394 alpha=90.00 beta=90.00 gamma=90.00
Space group I4/mmm (No. 139)
One atom of each set of equivalent atoms:
Cs 0.000 0.000 0.000
Rb 0.000 0.000 0.353
Li 0.000 0.500 0.250

The following is a PBE calculation of a relaxed structure of Cs4Rb2Li, from Alexandria via LeMat-Bulk.

Properties
Theoretical density (kg/m3): 1594
Magnetic moment (μB per formula unit): 0.00
Total energy (eV per atom): -0.92
ΔH_f (0 K) (eV per atom): 0.120

Unit cell a=7.738 b=7.738 c=24.683 alpha=90.00 beta=90.00 gamma=90.00
Space group I4/mmm (No. 139)
One atom of each set of equivalent atoms:
Cs 0.000 0.000 0.169
Cs 0.000 0.500 0.000
Rb 0.000 0.000 0.366
Li 0.000 0.000 0.000

The following is a PBE calculation of a relaxed structure of Cs2RbLi2, from Alexandria via LeMat-Bulk.

Properties
Theoretical density (kg/m3): 1827
Magnetic moment (μB per formula unit): 0.00
Total energy (eV per atom): -1.09
ΔH_f (0 K) (eV per atom): 0.211
Offset from the most stable computed form (eV per formula unit): 0.36

Unit cell a=12.051 b=12.051 c=4.570 alpha=90.00 beta=90.00 gamma=90.00
Space group P4/mbm (No. 127)
One atom of each set of equivalent atoms:
Cs 0.135 0.365 0.000
Rb 0.000 0.000 0.000
Li 0.164 0.664 0.500

The following is a PBE calculation of a relaxed structure of CsRb2Li2, from Alexandria via LeMat-Bulk.

Properties
Theoretical density (kg/m3): 1644
Magnetic moment (μB per formula unit): 0.00
Total energy (eV per atom): -1.16
ΔH_f (0 K) (eV per atom): 0.161
Offset from the most stable computed form (eV per formula unit): 0.00

Unit cell a=10.549 b=10.549 c=5.766 alpha=90.00 beta=90.00 gamma=90.00
Space group P4/mbm (No. 127)
One atom of each set of equivalent atoms:
Cs 0.000 0.000 0.000
Rb 0.169 0.331 0.500
Li 0.104 0.604 0.000

The following is a PBE calculation of a relaxed structure of Cs3RbLi, from Alexandria via LeMat-Bulk.

Properties
Theoretical density (kg/m3): 1319
Magnetic moment (μB per formula unit): 0.00
Total energy (eV per atom): -0.72
ΔH_f (0 K) (eV per atom): 0.365
Offset from the most stable computed form (eV per formula unit): 1.20

Unit cell a=8.518 b=8.518 c=8.518 alpha=90.00 beta=90.00 gamma=90.00
Space group Pm-3m (No. 221)
One atom of each set of equivalent atoms:
Cs 0.000 0.000 0.500
Rb 0.000 0.000 0.000
Li 0.500 0.500 0.500

The following is a PBE calculation of a relaxed structure of Cs2Rb4Li, from Alexandria via LeMat-Bulk.

Properties
Theoretical density (kg/m3): 1532
Magnetic moment (μB per formula unit): 0.00
Total energy (eV per atom): -0.96
ΔH_f (0 K) (eV per atom): 0.109

Unit cell a=7.373 b=7.373 c=24.504 alpha=90.00 beta=90.00 gamma=90.00
Space group I4/mmm (No. 139)
One atom of each set of equivalent atoms:
Cs 0.000 0.000 0.143
Rb 0.000 0.000 0.341
Rb 0.000 0.500 0.000
Li 0.000 0.000 0.500

The following is a PBE calculation of a relaxed structure of CsRb2Li, from Alexandria via LeMat-Bulk.

Properties
Theoretical density (kg/m3): 1593
Magnetic moment (μB per formula unit): 0.00
Total energy (eV per atom): -1.02
ΔH_f (0 K) (eV per atom): 0.152
Offset from the most stable computed form (eV per formula unit): 0.13

Unit cell a=9.097 b=5.195 c=14.053 alpha=90.00 beta=102.65 gamma=90.00
Space group Cm (No. 8)
One atom of each set of equivalent atoms:
Cs 0.000 0.000 0.000
Rb 0.228 0.000 0.685
Rb 0.438 0.000 0.316
Li 0.333 0.500 0.501

The following is a PBE calculation of a relaxed structure of Cs6Rb23Li, from Alexandria via LeMat-Bulk.

Properties
Theoretical density (kg/m3): 1594
Magnetic moment (μB per formula unit): 0.00
Total energy (eV per atom): -0.94
ΔH_f (0 K) (eV per atom): 0.039

Unit cell a=22.598 b=22.598 c=22.598 alpha=90.00 beta=90.00 gamma=90.00
Space group Fm-3m (No. 225)
One atom of each set of equivalent atoms:
Cs 0.000 0.000 0.195
Rb 0.000 0.000 0.500
Rb 0.000 0.250 0.250
Rb 0.119 0.119 0.381
Rb 0.167 0.167 0.167
Li 0.000 0.000 0.000

no.,volume (Å³ per atom)
1,26.53
2,28.88
3,32.24
4,39.17
5,36.62
6,98.46
7,75.16
8,62.91
9,91.33
10,72.36
11,89.86
12,96.92
13,65.44
14,76.98
15,69.34
16,105.56
17,66.36
18,64.17
19,123.61
20,95.16
21,81.01
22,96.17